[1]
A plane-wave DFT calculation with GGA-PBE was carried out for a relaxed LiPrAlCu crystal.

Cell and atoms, written as POSCAR:
```
LiPrAlCu
1.0
-0.4209 3.2711 3.4173
-4.1961 0.7032 2.1103
-0.6456 -1.3455 4.5086
Cu Al Li Pr
1 1 1 1
Cartesian
-1.3156 0.6572 2.5091
-2.6313 1.3144 5.0181
-3.9469 1.9715 7.5272
0.0000 0.0000 0.0000
```

Summary:
Total energy (eV per atom): -3.904
Mass density (g cm⁻³): 5.2
Size of the total moment (μB/cell): 0.000

=====

[2]
A plane-wave DFT calculation with GGA-PBE was carried out for a relaxed LiAlCu2Pt crystal.

Cell and atoms, written as POSCAR:
```
LiAlCu2Pt
1.0
4.7573 0.0000 0.0000
0.0000 4.4213 0.0000
0.0000 0.0000 4.7573
Cu Pt Li Al
2 1 1 1
Cartesian
2.3786 0.0000 0.0000
0.0000 0.0000 2.3786
0.0000 0.0000 0.0000
0.0000 2.2106 0.0000
2.3786 2.2106 2.3786
```

Summary:
Total energy (eV per atom): -3.506
Mass density (g cm⁻³): 5.9
Size of the total moment (μB/cell): 0.000

=====

[3]
A plane-wave DFT calculation with GGA-PBE was carried out for a relaxed Li2AlCuRh crystal.

Cell and atoms, written as POSCAR:
```
Li2AlCuRh
1.0
4.5142 0.0000 0.0000
0.0000 4.6226 0.0000
0.0000 0.0000 4.5142
Li Cu Rh Al
2 1 1 1
Cartesian
0.0000 0.0000 2.2571
2.2571 0.0000 0.0000
2.2571 2.3113 2.2571
0.0000 0.0000 0.0000
0.0000 2.3113 0.0000
```

Summary:
Total energy (eV per atom): -3.484
Mass density (g cm⁻³): 3.7
Size of the total moment (μB/cell): 0.000

=====

[4]
A plane-wave DFT calculation with GGA-PBE was carried out for a relaxed LiAl2CuS4 crystal.

Cell and atoms, written as POSCAR:
```
LiAl2CuS4
1.0
5.2524 0.2185 -0.0002
-0.2180 5.2524 -0.0002
-2.5174 -2.7357 5.5591
S Al Li Cu
4 2 1 1
Cartesian
1.1229 4.0183 1.4466
1.2842 1.3955 4.1128
-1.2845 -1.3959 4.1131
3.9113 1.4523 1.4466
2.6261 0.1092 2.7796
-0.1090 2.6262 2.7796
-0.0002 -0.0003 5.5569
0.0000 0.0000 0.0026
```

Summary:
Total energy (eV per atom): -4.778
Mass density (g cm⁻³): 2.7
Size of the total moment (μB/cell): 0.000

=====

Question: Which value of mass density does entry 2 give?
Answer: 5.9 g cm⁻³